[1]
VASP calculation (PBE-GGA) on crystalline NpGaCu2O6 at its relaxed geometry.

Cell lengths 5.2498, 5.2498, 14.4624 Å; angles 90.00, 90.00, 120.00 degrees
Space group R3 (No. 146, hexagonal axes)
Symmetry-distinct sites (fractional):
Np  0.0000  0.0000  0.0000 (multiplicity 3)
Ga  0.0000  0.0000  0.5000 (multiplicity 3)
Cu  0.0000  0.0000  0.2466 (multiplicity 3)
Cu  0.0000  0.0000  0.7511 (multiplicity 3)
O  0.0056  0.6333  0.2476 (multiplicity 9)
O  0.0388  0.3385  0.0859 (multiplicity 9)

Calculated total energy, eV for the cell shown: -211.232
Density of states at the Fermi level, states/eV/atom: 0.59

[2]
VASP calculation (PBE-GGA) on crystalline NpGa2CuO8 at its relaxed geometry.

Cell lengths 6.493, 6.493, 6.890 Å; angles 90.00, 90.00, 90.00 degrees
Space group I-4m2 (No. 119)
Symmetry-distinct sites (fractional):
Np  0.000  0.000  0.000 (multiplicity 2)
Ga  0.000  0.000  0.500 (multiplicity 2)
Ga  0.000  0.500  0.750 (multiplicity 2)
Cu  0.000  0.500  0.250 (multiplicity 2)
O  0.000  0.197  0.296 (multiplicity 8)
O  0.000  0.298  0.934 (multiplicity 8)

Calculated total energy, eV for the cell shown: -160.824
Density of states at the Fermi level, states/eV/atom: 0.69

[3]
VASP calculation (PBE-GGA) on crystalline NpGa4CuPd2 at its relaxed geometry.

Cell lengths 4.3004, 4.3004, 25.7453 Å; angles 90.00, 90.00, 120.00 degrees
Space group R-3m (No. 166, hexagonal axes)
Symmetry-distinct sites (fractional):
Np  0.0000  0.0000  0.0000 (multiplicity 3)
Ga  0.0000  0.0000  0.1288 (multiplicity 6)
Ga  0.0000  0.0000  0.3980 (multiplicity 6)
Cu  0.0000  0.0000  0.5000 (multiplicity 3)
Pd  0.0000  0.0000  0.2356 (multiplicity 6)

Calculated total energy, eV for the cell shown: -125.785
Density of states at the Fermi level, states/eV/atom: 1.19

[4]
VASP calculation (PBE-GGA) on crystalline NpGa4CuPt2 at its relaxed geometry.

Cell lengths 4.2896, 4.2896, 25.8007 Å; angles 90.00, 90.00, 120.00 degrees
Space group R-3m (No. 166, hexagonal axes)
Symmetry-distinct sites (fractional):
Np  0.0000  0.0000  0.0000 (multiplicity 3)
Ga  0.0000  0.0000  0.1313 (multiplicity 6)
Ga  0.0000  0.0000  0.3976 (multiplicity 6)
Cu  0.0000  0.0000  0.5000 (multiplicity 3)
Pt  0.0000  0.0000  0.2384 (multiplicity 6)

Calculated total energy, eV for the cell shown: -132.518
Density of states at the Fermi level, states/eV/atom: 1.27

[5]
VASP calculation (PBE-GGA) on crystalline NpGaCuPt at its relaxed geometry.

Cell lengths 6.612, 6.612, 6.612 Å; angles 90.00, 90.00, 90.00 degrees
Space group F-43m (No. 216)
Symmetry-distinct sites (fractional):
Np  0.000  0.000  0.000 (multiplicity 4)
Ga  0.000  0.000  0.500 (multiplicity 4)
Cu  0.250  0.250  0.750 (multiplicity 4)
Pt  0.250  0.250  0.250 (multiplicity 4)

Calculated total energy, eV for the cell shown: -107.667
Density of states at the Fermi level, states/eV/atom: 2.60

[6]
VASP calculation (PBE-GGA) on crystalline NpZnGaCu at its relaxed geometry.

Cell lengths 6.609, 6.609, 6.609 Å; angles 90.00, 90.00, 90.00 degrees
Space group F-43m (No. 216)
Symmetry-distinct sites (fractional):
Np  0.000  0.000  0.000 (multiplicity 4)
Zn  0.000  0.000  0.500 (multiplicity 4)
Ga  0.250  0.250  0.750 (multiplicity 4)
Cu  0.250  0.250  0.250 (multiplicity 4)

Calculated total energy, eV for the cell shown: -83.912
Density of states at the Fermi level, states/eV/atom: 1.83

[7]
VASP calculation (PBE-GGA) on crystalline NpZnGa2Cu4 at its relaxed geometry.

Cell lengths 4.1625, 4.1625, 25.2008 Å; angles 90.00, 90.00, 120.00 degrees
Space group R-3m (No. 166, hexagonal axes)
Symmetry-distinct sites (fractional):
Np  0.0000  0.0000  0.0000 (multiplicity 3)
Zn  0.0000  0.0000  0.5000 (multiplicity 3)
Ga  0.0000  0.0000  0.2469 (multiplicity 6)
Cu  0.0000  0.0000  0.1334 (multiplicity 6)
Cu  0.0000  0.0000  0.4030 (multiplicity 6)

Calculated total energy, eV for the cell shown: -109.778
Density of states at the Fermi level, states/eV/atom: 1.25

[8]
VASP calculation (PBE-GGA) on crystalline GaCuO2 at its relaxed geometry.

Cell lengths 5.837, 6.537, 5.628 Å; angles 90.00, 90.00, 90.00 degrees
Space group Pna2_1 (No. 33)
Symmetry-distinct sites (fractional):
Ga  0.062  0.124  0.000 (multiplicity 4)
Cu  0.036  0.384  0.412 (multiplicity 4)
O  0.043  0.103  0.333 (multiplicity 4)
O  0.130  0.660  0.412 (multiplicity 4)

Calculated total energy, eV for the cell shown: -87.139

Q: What is the formula in the third record?
A: NpGa4CuPd2